# 1
A plane-wave DFT calculation with PBE-GGA was carried out for crystalline RbSrMg at its relaxed geometry.

extended XYZ file:
```
6
Lattice="4.119 0.095 0.833 -0.160 4.201 0.306 0.629 -1.324 17.774" Properties=species:S:1:pos:R:3 pbc="T T T"
Rb 3.818 0.655 7.529
Mg 0.840 1.019 1.008
Rb 0.771 2.316 11.384
Sr 2.183 -0.029 15.258
Sr 2.405 3.001 3.655
Mg 3.749 1.952 17.905
```

Calculated density in g/cm3: 2.132
D(E_F) in states/eV per atom: 0.88
Calculated formation energy in eV/atom: 0.061

---

# 2
A plane-wave DFT calculation with PBE-GGA was carried out for crystalline MnTe2Os at its relaxed geometry.

extended XYZ file:
```
4
Lattice="-1.025 -4.380 1.835 1.576 -4.006 -2.252 3.524 -2.682 1.998" Properties=species:S:1:pos:R:3 pbc="T T T"
Te 0.000 0.000 0.000
Te 3.057 -8.301 1.186
Os 1.019 -2.767 0.395
Mn 2.038 -5.534 0.790
```

Offset from the most stable computed form in eV/atom: 0.945
Calculated density in g/cm3: 10.247
D(E_F) in states/eV per atom: 0.78
Uncorrected formation energy in meV/atom: 1026

---

# 3
A plane-wave DFT calculation with PBE-GGA was carried out for crystalline Y3Mn5 at its relaxed geometry.

extended XYZ file:
```
8
Lattice="-3.368 3.666 -3.216 -3.569 -0.707 4.678 1.955 3.579 2.032" Properties=species:S:1:pos:R:3 pbc="T T T"
Y -2.436 4.468 -0.418
Mn 0.000 0.000 0.000
Mn -1.785 -0.354 2.339
Mn -0.801 2.548 1.391
Mn -1.684 1.833 -1.608
Y -3.468 1.479 0.731
Mn -4.182 3.990 2.103
Y -2.546 2.070 3.911
```

Calculated density in g/cm3: 5.691
D(E_F) in states/eV per atom: 1.22
Calculated formation energy in eV/atom: 0.376

---

# 4
A plane-wave DFT calculation with PBE-GGA was carried out for crystalline Pr2AlNi4P3 at its relaxed geometry.

extended XYZ file:
```
10
Lattice="-0.282 -0.488 -3.944 -1.347 -3.708 0.555 -9.151 3.359 0.239" Properties=species:S:1:pos:R:3 pbc="T T T"
P -8.116 2.683 -1.764
Ni -5.921 1.878 -1.821
Ni -0.814 -2.098 -1.694
P -4.576 1.680 0.119
Pr -2.349 0.566 -1.914
Ni 0.000 0.000 0.000
Ni -4.045 -0.617 0.366
P -1.850 -1.422 0.308
Pr -7.617 0.695 0.459
Al -5.390 -0.418 -1.575
```

Calculated density in g/cm3: 6.828
D(E_F) in states/eV per atom: 0.46
Calculated formation energy in eV/atom: -0.919